(1)
Compound: PrB6
Source: the Alexandria database
Functional: SCAN
Structure: PBEsol geometry

Cell: 4.1222 4.1222 4.1222 Å, 90.00 90.00 90.00°
Space group Pm-3m (No. 221)
One atom of each set of equivalent atoms:
Pr1 0.0000 0.0000 0.0000 [1 per cell]
B1 0.1998 0.5000 0.5000 [6 per cell]

Results
Total moment = 0.0 μB/cell

---

(2)
Compound: PrBPt2
Source: the Alexandria database
Functional: SCAN
Structure: PBEsol geometry

Cell: 5.4501 5.4501 7.8929 Å, 90.00 90.00 120.00°
Space group P6_422 (No. 181)
One atom of each set of equivalent atoms:
Pr1 0.0000 0.5000 0.3333 [3 per cell]
B1 0.0000 0.5000 0.8333 [3 per cell]
Pt1 0.1515 0.3030 0.0000 [6 per cell]

Results
Total moment = 0.0 μB/cell

---

(3)
Compound: Pr2Re3B6
Source: the Alexandria database
Functional: SCAN
Structure: PBEsol geometry

Cell: 6.7790 10.6203 7.5608 Å, 90.00 90.94 90.00°
Space group C2/c (No. 15)
One atom of each set of equivalent atoms:
Pr1 0.2328 0.1743 0.1726 [8 per cell]
Re1 0.0000 0.0841 0.7500 [4 per cell]
Re2 0.1037 0.4077 0.4126 [8 per cell]
B1 0.1048 0.0456 0.4666 [8 per cell]
B2 0.1276 0.2137 0.5207 [8 per cell]
B3 0.1972 0.4554 0.1331 [8 per cell]

Results
Total moment = 0.0 μB/cell

---

Number 1: ΔH_f (0 K) -0.559 eV/atom. Number 2: ΔH_f (0 K) -1.082 eV/atom. Number 3: ΔH_f (0 K) -0.449 eV/atom.